A) 4
Lattice="-1.4162 2.2108 -1.9442 -0.4666 -0.6673 -3.1638 -7.0238 -2.2420 -0.1780" Properties=species:S:1:pos:R:3 comment="Mg2SnO (GGA-PBE, relaxed)" m_tot_mub_per_cell=0.0 pbc="T T T"
O 0.0000 0.0000 0.0000
Mg -7.2068 -0.7510 -3.8389
Mg -1.6998 0.0524 -1.4471
Sn -4.4533 -0.3493 -2.6430


B) 4
Lattice="1.9437 -3.0854 3.0308 -1.3602 -0.0386 4.5422 -2.5688 -3.6165 1.6749" Properties=species:S:1:pos:R:3 comment="Mg2SnO (GGA-PBE, relaxed)" m_tot_mub_per_cell=1.9 pbc="T T T"
O 0.0000 0.0000 0.0000
Mg -0.4963 -1.6851 2.3120
Mg -1.4890 -5.0554 6.9359
Sn -0.9926 -3.3703 4.6240


The data favor A); the next most stable structure lies 109.7 kJ/mol of atoms above it.


A) 26
Lattice="-1.6383 -2.7693 5.4426 6.0729 1.3039 -1.1809 -1.0481 8.5234 4.0214" Properties=species:S:1:pos:R:3 comment="Mg2Sn3O8 (GGA-PBE, relaxed)" m_tot_mub_per_cell=0.0 pbc="T T T"
Sn 4.5492 2.7177 0.8907
Sn 1.4709 2.0567 1.4893
Sn 1.9272 4.9061 6.7489
Sn 3.7188 1.3139 3.6495
Sn -0.3206 5.6489 4.5887
Sn -1.1511 4.2452 7.3474
O 1.1096 5.4490 3.1066
O 3.3729 1.0003 1.5243
O 0.4329 5.3925 8.1810
O 0.3251 0.4961 2.2199
O 2.6978 3.7450 1.0832
O -0.3761 3.0584 1.4430
O 3.2866 4.7296 5.1987
O 4.0909 6.0891 2.5269
O -0.9002 7.3201 3.4537
O 1.1621 6.6251 5.7587
O 0.2784 3.9043 5.7428
O -1.5407 6.0447 6.2843
O 2.5021 -0.2233 4.3120
O 4.6714 3.0928 2.9799
O 1.9686 2.5125 3.5055
O -0.4791 -0.8634 4.8917
Mg 0.9000 -1.1507 3.3578
Mg 2.9463 4.4688 3.1607
Mg 2.5553 7.6484 4.6609
Mg 0.5090 2.0290 4.8580


B) 13
Lattice="5.9419 -0.1371 -0.3963 2.8280 5.2276 -0.3963 1.2228 0.7098 5.2368" Properties=species:S:1:pos:R:3 comment="Mg2Sn3O8 (GGA-PBE, relaxed)" m_tot_mub_per_cell=0.0 pbc="T T T"
O 3.9082 2.2686 1.6141
O 8.2952 4.8150 1.2044
O 3.4976 3.9886 4.2288
O 6.4951 1.8117 0.2155
O 6.0844 3.5317 2.8303
O 1.6974 0.9853 3.2399
O 5.1982 1.0589 4.2288
O 4.7945 4.7414 0.2155
Sn 4.2423 4.1991 2.2222
Sn 0.0000 0.0000 0.0000
Sn 5.7503 1.6012 2.2222
Mg 2.6858 1.5590 0.1848
Mg 7.3069 4.2413 4.2595


The data favor A); the next most stable structure lies 1.8 kJ/mol of atoms above it.